[1]
VASP calculation (PBE) on a relaxed structure of Nb3I8.

Lattice parameters (Å, degrees): 7.6853 7.6853 44.1297 90.00 90.00 120.00
Closest atoms and distances in Å follow each position.
Space group R-3m (No. 166, hexagonal axes)
Asymmetric unit:
Nb1 0.0717 0.5359 0.0833 x18  6 I 2.76-3.06, 2 Nb 3.02
I1 0.0000 0.0000 0.2171 x6  3 Nb 3.06
I2 0.0000 0.0000 0.3681 x6  3 Nb 2.76
I3 0.0020 0.5010 0.2069 x18  2 Nb 2.77
I4 0.0050 0.5025 0.6183 x18  2 Nb 2.94

Output
The value obtained for the density is 5.71 g/cm³. The value obtained for the uncorrected formation energy is -541 kJ/mol of formula units. The value obtained for the total DFT energy (no corrections) is -4.383 eV/atom.



[2]
VASP calculation (PBE) on a relaxed structure of Rb2InHgAu.

Lattice parameters (Å, degrees): 5.0310 5.0310 15.4160 90.00 90.00 90.00
Closest atoms and distances in Å follow each position.
Space group P4/nmm (No. 129, origin choice 2)
Asymmetric unit:
Rb1 0.2500 0.2500 0.1577 x2  5 Hg 3.52-3.80, 1 Au 3.90
Rb2 0.2500 0.2500 0.6805 x2  4 In 3.75, 5 Au 3.83-4.16, 1 Hg 3.84
In1 0.2500 0.7500 0.5000 x2  4 Au 2.87
Hg1 0.2500 0.2500 0.9294 x2  6 Rb 3.52-3.84
Au1 0.2500 0.2500 0.4109 x2  4 In 2.87

Output
The value obtained for the density is 5.82 g/cm³. For the formation energy, the calculation gives -196 meV per atom. The value obtained for the total DFT energy (no corrections) is -1.847 eV/atom. The value obtained for the offset from the most stable computed form is 0 kJ/mol of formula units.



[3]
VASP calculation (PBE) on a relaxed structure of Li2LaTa.

Lattice parameters (Å, degrees): 7.0534 7.0534 7.0534 90.00 90.00 90.00
Closest atoms and distances in Å follow each position.
Space group F-43m (No. 216)
Asymmetric unit:
Li1 0.0000 0.0000 0.0000 x4  4 Ta 3.05, 4 Li 3.05
Li2 0.2500 0.2500 0.2500 x4  4 La 3.05, 4 Li 3.05
La1 0.0000 0.0000 0.5000 x4  4 Li 3.05, 4 Ta 3.05
Ta1 0.2500 0.2500 0.7500 x4  4 La 3.05, 4 Li 3.05

Output
The value obtained for the density is 6.32 g/cm³. For the formation energy, the calculation gives 706 meV per atom. The value obtained for the total DFT energy (no corrections) is -4.446 eV/atom. The value obtained for the offset from the most stable computed form is 140 kJ/mol of formula units.